No. 1
Density functional theory data (GGA-PBE) for a relaxed structure of NdErTh2.

abc: 5.687 5.687 5.687
angles: 60.00 60.00 60.00
Atoms (fractional coordinates):
Nd  0.500  0.500  0.500
Th  0.250  0.250  0.250
Th  0.750  0.750  0.750
Er  0.000  0.000  0.000

As for the calculated formation energy: 0.1822 eV per atom. Its crystal system is cubic. The calculation puts the total magnetization at 0.0 μB/cell. The density of states at the Fermi level comes out at 1.76 states/eV per atom. The calculation puts the energy above the most stable polymorph in this dataset at 153 meV per atom.

---

No. 2
Density functional theory data (GGA-PBE) for a relaxed structure of LaMgIn6.

abc: 4.467 6.878 6.878
angles: 91.87 90.00 90.00
Atoms (fractional coordinates):
La  0.500  0.500  0.500
Mg  0.500  0.000  0.000
In  0.000  0.761  0.239
In  0.000  0.239  0.761
In  0.000  0.767  0.767
In  0.000  0.233  0.233
In  0.500  0.500  0.000
In  0.500  0.000  0.500

As for the calculated formation energy: -0.2128 eV per atom. Its crystal system is orthorhombic. The calculation puts the total magnetization at 0.0 μB/cell. The density of states at the Fermi level comes out at 0.56 states/eV per atom.

---

No. 3
Density functional theory data (GGA-PBE) for a relaxed structure of La2Pm2NdEr2.

abc: 5.139 6.302 8.184
angles: 97.29 90.00 114.06
Atoms (fractional coordinates):
La  0.142  0.284  0.427
La  0.858  0.716  0.573
Pm  0.715  0.431  0.141
Pm  0.285  0.569  0.859
Nd  0.000  0.000  0.000
Er  0.571  0.142  0.715
Er  0.429  0.858  0.285

As for the calculated formation energy: 0.0239 eV per atom. Its crystal system is monoclinic. The calculation puts the total magnetization at 0.0 μB/cell. The density of states at the Fermi level comes out at 1.64 states/eV per atom.

---

Q: What is the formula in the second record?
A: LaMgIn6